The following is a DFT calculation (PBE) of a relaxed HoCdBi2 crystal.

```
4
Lattice="2.264 1.307 7.061 -2.264 1.307 7.061 0.000 -2.615 7.061" Properties=species:S:1:pos:R:3 pbc="T T T"
Ho 0.000 0.000 0.000
Cd 0.000 0.000 10.592
Bi 0.000 0.000 5.256
Bi 0.000 0.000 15.927
```

Magnetization = 0.0 μB/f.u.
Calculated volume = 125.41 Å³/cell
Space group = R-3m
Calculated formation energy = -0.19 eV per atom